Entry from the Alexandria database: a relaxed structure of GeN2OF (GGA-PBE).

Output
space-group type	No. 123
energy	-4.559	eV/atom
uncorrected formation energy	1060	meV per atom
total magnetic moment	3.13	Bohr magnetons per cell

Unit cell a=3.972 b=3.972 c=3.621 alpha=90.00 beta=90.00 gamma=90.00
Sites, in units of the cell vectors:
Ge: 0.000 0.000 0.000
N: 0.000 0.500 0.000
N: 0.500 0.000 0.000
O: 0.000 0.000 0.500
F: 0.500 0.500 0.500

Entry from the Alexandria database: a relaxed structure of GeN2OF (GGA-PBE).

Output
space-group type	No. 123
energy	-4.504	eV/atom
uncorrected formation energy	1116	meV per atom
total magnetic moment	4.63	Bohr magnetons per cell

Unit cell a=3.833 b=3.833 c=3.925 alpha=90.00 beta=90.00 gamma=90.00
Sites, in units of the cell vectors:
Ge: 0.000 0.000 0.000
N: 0.000 0.500 0.000
N: 0.500 0.000 0.000
O: 0.500 0.500 0.500
F: 0.000 0.000 0.500